# NaBTe2I PBE relaxed
data_NaBTe2I
_chemical_formula_sum 'Na1 B1 Te2 I1'
_cell_length_a 4.684
_cell_length_b 4.684
_cell_length_c 8.296
_cell_angle_alpha 90.00
_cell_angle_beta 90.00
_cell_angle_gamma 90.00
_symmetry_space_group_name_H-M 'P 4/m m m'
_symmetry_Int_Tables_number 123
_symmetry_space_group_name_Hall '-P 4 2'
loop_
_atom_site_label
_atom_site_type_symbol
_atom_site_fract_x
_atom_site_fract_y
_atom_site_fract_z
Na1 Na 0.000 0.000 0.000
B1 B 0.500 0.500 0.500
Te1 Te 0.000 0.500 0.500
I1 I 0.500 0.500 0.000
# Uncorrected energy ... -2.94 eV per atom
# Formation energy from raw total energies ... 0.226 eV/atom



# GaRe2Bi PBE relaxed
data_GaRe2Bi
_chemical_formula_sum 'Ga4 Re8 Bi4'
_cell_length_a 4.212
_cell_length_b 4.212
_cell_length_c 18.549
_cell_angle_alpha 90.00
_cell_angle_beta 90.00
_cell_angle_gamma 90.00
_symmetry_space_group_name_H-M 'I -4 2 d'
_symmetry_Int_Tables_number 122
_symmetry_space_group_name_Hall 'I -4 2bw'
loop_
_atom_site_label
_atom_site_type_symbol
_atom_site_fract_x
_atom_site_fract_y
_atom_site_fract_z
Ga1 Ga 0.000 0.000 0.000
Re1 Re 0.155 0.250 0.125
Bi1 Bi 0.000 0.000 0.500
# Uncorrected energy ... -7.15 eV per atom



# Rb2DyBSe4 PBE relaxed
data_Rb2DyBSe4
_chemical_formula_sum 'Rb16 Dy8 B8 Se32'
_cell_length_a 6.019
_cell_length_b 14.734
_cell_length_c 25.443
_cell_angle_alpha 90.00
_cell_angle_beta 90.00
_cell_angle_gamma 90.00
_symmetry_space_group_name_H-M 'F d d d'
_symmetry_Int_Tables_number 70
loop_
_symmetry_equiv_pos_as_xyz
'x,y,z'
'-x,-y,-z'
'-x+1/4,-y+1/4,z'
'x+1/4,y+1/4,-z'
'x,-y+1/4,-z+1/4'
'-x,y+1/4,z+1/4'
'-x+1/4,y,-z+1/4'
'x+1/4,-y,z+1/4'
'x,y+1/2,z+1/2'
'-x,-y+1/2,-z+1/2'
'-x+1/4,-y+3/4,z+1/2'
'x+1/4,y+3/4,-z+1/2'
'x,-y+3/4,-z+3/4'
'-x,y+3/4,z+3/4'
'-x+1/4,y+1/2,-z+3/4'
'x+1/4,-y+1/2,z+3/4'
'x+1/2,y,z+1/2'
'-x+1/2,-y,-z+1/2'
'-x+3/4,-y+1/4,z+1/2'
'x+3/4,y+1/4,-z+1/2'
'x+1/2,-y+1/4,-z+3/4'
'-x+1/2,y+1/4,z+3/4'
'-x+3/4,y,-z+3/4'
'x+3/4,-y,z+3/4'
'x+1/2,y+1/2,z'
'-x+1/2,-y+1/2,-z'
'-x+3/4,-y+3/4,z'
'x+3/4,y+3/4,-z'
'x+1/2,-y+3/4,-z+1/4'
'-x+1/2,y+3/4,z+1/4'
'-x+3/4,y+1/2,-z+1/4'
'x+3/4,-y+1/2,z+1/4'
loop_
_atom_site_label
_atom_site_type_symbol
_atom_site_fract_x
_atom_site_fract_y
_atom_site_fract_z
Rb1 Rb 0.125 0.125 0.305
Dy1 Dy 0.125 0.125 0.125
B1 B 0.125 0.125 0.625
Se1 Se 0.056 0.286 0.824
# Uncorrected energy ... -4.39 eV per atom
# Formation energy from raw total energies ... -0.993 eV/atom



# YZnCl2 PBE relaxed
data_YZnCl2
_chemical_formula_sum 'Y2 Zn2 Cl4'
_cell_length_a 3.750
_cell_length_b 6.787
_cell_length_c 11.255
_cell_angle_alpha 90.00
_cell_angle_beta 90.00
_cell_angle_gamma 90.00
_symmetry_space_group_name_H-M 'C m m m'
_symmetry_Int_Tables_number 65
_symmetry_space_group_name_Hall '-C 2 2'
loop_
_atom_site_label
_atom_site_type_symbol
_atom_site_fract_x
_atom_site_fract_y
_atom_site_fract_z
Y1 Y 0.000 0.000 0.000
Zn1 Zn 0.000 0.000 0.500
Cl1 Cl 0.000 0.500 0.168
# Uncorrected energy ... -3.94 eV per atom
# Formation energy from raw total energies ... -1.083 eV/atom



# MgCd2Sb2 PBE relaxed
data_MgCd2Sb2
_chemical_formula_sum 'Mg2 Cd4 Sb4'
_cell_length_a 7.930
_cell_length_b 7.930
_cell_length_c 4.072
_cell_angle_alpha 90.00
_cell_angle_beta 90.00
_cell_angle_gamma 90.00
_symmetry_space_group_name_H-M 'P 4/m b m'
_symmetry_Int_Tables_number 127
_symmetry_space_group_name_Hall '-P 4 2ab'
loop_
_atom_site_label
_atom_site_type_symbol
_atom_site_fract_x
_atom_site_fract_y
_atom_site_fract_z
Mg1 Mg 0.000 0.000 0.000
Cd1 Cd 0.129 0.371 0.000
Sb1 Sb 0.178 0.678 0.500
# Uncorrected energy ... -2.24 eV per atom
# Formation energy from raw total energies ... 0.093 eV/atom



# BeGePCl2 PBE relaxed
data_BeGePCl2
_chemical_formula_sum 'Be1 Ge1 P1 Cl2'
_cell_length_a 4.784
_cell_length_b 4.784
_cell_length_c 5.028
_cell_angle_alpha 90.00
_cell_angle_beta 90.00
_cell_angle_gamma 90.00
_symmetry_space_group_name_H-M 'P 4/m m m'
_symmetry_Int_Tables_number 123
_symmetry_space_group_name_Hall '-P 4 2'
loop_
_atom_site_label
_atom_site_type_symbol
_atom_site_fract_x
_atom_site_fract_y
_atom_site_fract_z
Be1 Be 0.000 0.000 0.000
Ge1 Ge 0.500 0.500 0.500
P1 P 0.500 0.500 0.000
Cl1 Cl 0.000 0.500 0.500
# Uncorrected energy ... -2.88 eV per atom
# Formation energy from raw total energies ... 0.609 eV/atom



V: 182, 329, 2256, 286, 256, 115 (Å³/cell)